{
  "formula": "LiCaAcPb2",
  "functional": "PBE",
  "state": "relaxed",
  "cell": [[-7.1058, -0.4454, -0.0823], [0.3749, -5.7272, -1.3698], [0.0241, -1.6979, 7.1058]],
  "species": ["Li", "Li", "Ca", "Ca", "Ac", "Ac", "Pb", "Pb", "Pb", "Pb"],
  "frac_coords": [[0.0000, 0.0000, 0.0000], [0.0000, 0.5000, 0.0000], [0.6200, 0.7500, 0.0000], [0.3800, 0.2500, 0.0000], [0.2350, 0.2500, 0.5000], [0.7650, 0.7500, 0.5000], [0.7569, 0.2500, 0.7507], [0.7569, 0.2500, 0.2493], [0.2431, 0.7500, 0.7507], [0.2431, 0.7500, 0.2493]],
  "magmom_total_mub_per_cell": 0.00,
  "e_tot_ev_per_atom": -3.442
}

=====

{
  "formula": "BaAl2Au",
  "functional": "PBE",
  "state": "relaxed",
  "cell": [[-1.5377, -2.1949, -3.6526], [-0.4455, -4.0513, 2.6220], [-5.0496, 0.2983, 1.9466]],
  "species": ["Au", "Ba", "Al", "Al"],
  "frac_coords": [[0.5000, 0.2500, 0.2500], [0.5000, 0.7500, 0.7500], [0.0000, 0.0274, 0.1492], [0.0000, 0.4726, 0.3508]],
  "magmom_total_mub_per_cell": 0.00,
  "e_tot_ev_per_atom": -3.509
}

=====

{
  "formula": "Cs2TaSi",
  "functional": "PBE",
  "state": "relaxed",
  "cell": [[9.8056, 0.4547, -3.0389], [-7.4556, -3.4668, 6.1633], [-2.7418, -6.1487, -7.7632]],
  "species": ["Cs", "Cs", "Cs", "Cs", "Ta", "Ta", "Si", "Si"],
  "frac_coords": [[0.6250, 0.3138, 0.1888], [0.1250, 0.4362, 0.8112], [0.6862, 0.8750, 0.3112], [0.5638, 0.3750, 0.6888], [0.0000, 0.0000, 0.0000], [0.2500, 0.7500, 0.5000], [0.5000, 0.5000, 0.0000], [0.7500, 0.2500, 0.5000]],
  "magmom_total_mub_per_cell": 2.63,
  "e_form_raw_ev_per_atom": 1.04,
  "e_tot_ev_per_atom": -3.705
}

=====

{
  "formula": "LiLa2Sn4Ir3",
  "functional": "PBE",
  "state": "relaxed",
  "cell": [[4.5764, 0.0000, 0.0000], [0.0000, 4.5764, 0.0000], [0.0000, 0.0000, 10.7901]],
  "species": ["Li", "La", "La", "Sn", "Sn", "Sn", "Sn", "Ir", "Ir", "Ir"],
  "frac_coords": [[0.5000, 0.5000, 0.5000], [0.5000, 0.0000, 0.2464], [0.0000, 0.5000, 0.7536], [0.5000, 0.5000, 0.0000], [0.0000, 0.0000, 0.0000], [0.5000, 0.0000, 0.6271], [0.0000, 0.5000, 0.3729], [0.0000, 0.0000, 0.5000], [0.5000, 0.0000, 0.8689], [0.0000, 0.5000, 0.1311]],
  "magmom_total_mub_per_cell": 0.00,
  "e_tot_ev_per_atom": -6.051
}